DFT (PBE) results for a relaxed Zr crystal.

```
Zr
1.0
3.2312 0.0000 0.0000
-1.6156 2.7983 0.0000
0.0000 0.0000 5.1855
Zr
2
direct
0.3333 0.6667 0.2500
0.6667 0.3333 0.7500
```

Calculated values
The energy of formation from the pure elements is 0.0 meV per atom. For the distance to the lowest polymorph of the same formula, the calculation gives 0.000 eV/atom. The total energy comes out at -17.1 eV/cell.